# PBE MgIn, optimized geometry
# Fermi-level density of states = 3.7 states/eV/cell
# DFT formation energy = -0.076 eV/atom
# energy = -2.242 eV/atom
data_MgIn
_symmetry_space_group_name_H-M 'I 41/a m d'
_symmetry_Int_Tables_number 141
_cell_length_a 4.4817
_cell_length_b 4.4817
_cell_length_c 9.4086
_cell_angle_alpha 90.00
_cell_angle_beta 90.00
_cell_angle_gamma 90.00
loop_
_symmetry_equiv_pos_as_xyz
'x,y,z'
'-x,-y,-z'
'-y+1/4,x+3/4,z+1/4'
'y+1/4,-x+3/4,-z+1/4'
'-x+1/2,-y,z+1/2'
'x+1/2,y,-z+1/2'
'y+1/4,-x+1/4,z+3/4'
'-y+1/4,x+1/4,-z+3/4'
'x,-y,-z'
'-x,y,z'
'-y+1/4,-x+1/4,-z+3/4'
'y+1/4,x+1/4,z+3/4'
'-x+1/2,y,-z+1/2'
'x+1/2,-y,z+1/2'
'y+1/4,x+3/4,-z+1/4'
'-y+1/4,-x+3/4,z+1/4'
'x+1/2,y+1/2,z+1/2'
'-x+1/2,-y+1/2,-z+1/2'
'-y+3/4,x+1/4,z+3/4'
'y+3/4,-x+1/4,-z+3/4'
'-x,-y+1/2,z'
'x,y+1/2,-z'
'y+3/4,-x+3/4,z+1/4'
'-y+3/4,x+3/4,-z+1/4'
'x+1/2,-y+1/2,-z+1/2'
'-x+1/2,y+1/2,z+1/2'
'-y+3/4,-x+3/4,-z+1/4'
'y+3/4,x+3/4,z+1/4'
'-x,y+1/2,-z'
'x,-y+1/2,z'
'y+3/4,x+1/4,-z+3/4'
'-y+3/4,-x+1/4,z+3/4'
loop_
_atom_site_label
_atom_site_type_symbol
_atom_site_fract_x
_atom_site_fract_y
_atom_site_fract_z
_atom_site_occupancy
Mg1 Mg 0.0000 0.2500 0.3750 1
In1 In 0.0000 0.2500 0.8750 1